# Mn2TlCoF8

Crystalline Mn2TlCoF8 at its relaxed geometry (PBE+U, Alexandria via LeMat-Bulk).

Summary:
M_tot ... 12.5 μB per formula unit
Electronic total energy ... -64.65 eV/cell
D(E_F) ... 3.0 states/eV per cell

Geometry as CIF:
```
data_Mn2TlCoF8
_space_group_name_H-M_alt 'P -1'
_space_group_IT_number 2
_cell_length_a 5.031
_cell_length_b 5.043
_cell_length_c 6.898
_cell_angle_alpha 89.95
_cell_angle_beta 89.95
_cell_angle_gamma 89.29
loop_
_space_group_symop_operation_xyz
'x,y,z'
'-x,-y,-z'
loop_
_atom_site_label
_atom_site_fract_x
_atom_site_fract_y
_atom_site_fract_z
_atom_site_occupancy
Mn1 0.000 0.000 0.237 1
Tl1 0.500 0.500 0.500 1
Co1 0.500 0.500 0.000 1
F1 0.169 0.175 0.500 1
F2 0.201 0.205 0.000 1
F3 0.300 0.704 0.215 1
F4 0.301 0.705 0.785 1
```